Record 1
Here is a relaxed Zn2ReSe crystal from Alexandria via LeMat-Bulk. Energies are from PBEsol.

Values from the calculation:
As for the space-group type: Pmmm (47). The energy relative to the elements, uncorrected comes out at 2.0 eV per formula unit. The density of states at the Fermi level is 3.23 states/eV per cell. The value obtained for the energy above the most stable polymorph in this dataset is 181 meV/atom.

POSCAR file:
```
Zn2ReSe
1.0
-0.3359 2.7232 -1.5874
-3.5083 -1.5648 -1.9419
-2.4835 1.5711 3.2208
Se Zn Re
1 2 1
Cartesian
-2.9959 0.0032 0.6394
0.0000 0.0000 0.0000
-1.4097 2.1472 0.8167
-1.9221 0.5792 -1.7647
```


Record 2
Here is a relaxed CaCl2 crystal from Alexandria via LeMat-Bulk. Energies are from PBEsol.

Values from the calculation:
As for the space-group type: Pa-3 (205). The energy relative to the elements, uncorrected comes out at -7.1 eV per formula unit. The density of states at the Fermi level is 0.00 states/eV per cell.

POSCAR file:
```
CaCl2
1.0
6.7096 0.0000 0.0000
0.0000 6.7096 0.0000
0.0000 0.0000 6.7096
Ca Cl
4 8
Cartesian
3.3548 0.0000 3.3548
0.0000 3.3548 3.3548
3.3548 3.3548 0.0000
0.0000 0.0000 0.0000
4.4142 4.4142 4.4142
5.6501 2.2954 1.0594
2.2954 2.2954 2.2954
2.2954 1.0594 5.6501
5.6501 1.0594 4.4142
1.0594 4.4142 5.6501
4.4142 5.6501 1.0594
1.0594 5.6501 2.2954
```


Record 3
Here is a relaxed BeCrTe2I crystal from Alexandria via LeMat-Bulk. Energies are from PBEsol.

Values from the calculation:
As for the space-group type: P4/mmm (123). The energy relative to the elements, uncorrected comes out at 3.2 eV per formula unit. The density of states at the Fermi level is 4.40 states/eV per cell. The value obtained for the energy above the most stable polymorph in this dataset is 0 meV/atom.

POSCAR file:
```
BeCrTe2I
1.0
-2.8977 3.9771 -0.3794
-2.1144 -1.9243 -4.0230
-3.5496 -2.3031 2.9672
Cr I Te Be
1 1 2 1
Cartesian
-4.2808 -0.1252 -0.7176
-1.7748 -1.1516 1.4836
-1.4488 1.9885 -0.1897
-1.0572 -0.9621 -2.0115
0.0000 0.0000 0.0000
```


Record 4
Here is a relaxed SrZrTlTe2 crystal from Alexandria via LeMat-Bulk. Energies are from PBEsol.

Values from the calculation:
As for the space-group type: P4/mmm (123). The energy relative to the elements, uncorrected comes out at -0.6 eV per formula unit. The density of states at the Fermi level is 4.25 states/eV per cell.

POSCAR file:
```
SrZrTlTe2
1.0
-3.6346 -3.8588 -1.6173
2.1654 0.0982 -5.1007
3.8129 -4.2356 1.5371
Te Sr Tl Zr
2 1 1 1
Cartesian
1.0827 0.0491 -2.5504
-1.8173 -1.9294 -0.8086
1.9064 -2.1178 0.7686
1.1718 -3.9981 -2.5904
0.0000 0.0000 0.0000
```


Record 5
Here is a relaxed Y2MgSb crystal from Alexandria via LeMat-Bulk. Energies are from PBEsol.

Values from the calculation:
As for the space-group type: P4/mmm (123). The energy relative to the elements, uncorrected comes out at -2.4 eV per formula unit. The density of states at the Fermi level is 3.06 states/eV per cell. The value obtained for the energy above the most stable polymorph in this dataset is 13 meV/atom.

POSCAR file:
```
Y2MgSb
1.0
-1.7085 2.3872 2.6118
2.5242 -1.2103 2.7574
4.1859 4.8563 -1.7004
Y Mg Sb
2 1 1
Cartesian
3.1059 3.6033 -1.2617
1.0800 1.2529 -0.4387
0.4078 0.5885 2.6846
2.5008 3.0166 1.8344
```


Record 6
Here is a relaxed SrCo crystal from Alexandria via LeMat-Bulk. Energies are from PBEsol.

Values from the calculation:
As for the space-group type: Fm-3m (225). As for the formation energy: 1.05 eV per atom. The density of states at the Fermi level is 4.63 states/eV per cell.

POSCAR file:
```
SrCo
1.0
4.2528 0.0000 0.0000
2.1264 3.6830 0.0000
2.1264 1.2277 3.4724
Sr Co
1 1
Cartesian
4.2528 2.4553 1.7362
0.0000 0.0000 0.0000
```


Record 7
Here is a relaxed Zr2IrRh crystal from Alexandria via LeMat-Bulk. Energies are from PBEsol.

Values from the calculation:
As for the space-group type: P4mm (99). As for the formation energy: -0.58 eV per atom. The density of states at the Fermi level is 2.41 states/eV per cell.

POSCAR file:
```
Zr2IrRh
1.0
3.6739 0.0000 0.0000
0.0000 3.6739 0.0000
0.0000 0.0000 5.5025
Zr Ir Rh
2 1 1
Cartesian
1.8369 1.8369 1.7249
0.0000 0.0000 5.1703
0.0000 0.0000 2.3781
1.8369 1.8369 4.4829
```


Record 8
Here is a relaxed TcMo2W crystal from Alexandria via LeMat-Bulk. Energies are from PBEsol.

Values from the calculation:
As for the space-group type: Fm-3m (225). As for the formation energy: 0.07 eV per atom. The density of states at the Fermi level is 3.71 states/eV per cell. The value obtained for the energy above the most stable polymorph in this dataset is 38 meV/atom.

POSCAR file:
```
TcMo2W
1.0
4.4034 0.0000 0.0000
2.2017 3.8134 0.0000
2.2017 1.2711 3.5953
W Tc Mo
1 1 2
Cartesian
4.4034 2.5423 1.7977
0.0000 0.0000 0.0000
2.2017 1.2711 0.8988
6.6051 3.8134 2.6965
```


Record 9
Here is a relaxed Sc2WC crystal from Alexandria via LeMat-Bulk. Energies are from PBEsol.

Values from the calculation:
As for the space-group type: R-3m (166). As for the formation energy: 1.25 eV per atom. The density of states at the Fermi level is 3.83 states/eV per cell.

POSCAR file:
```
Sc2WC
1.0
-1.8695 -2.2518 -0.5677
0.1527 -2.5058 1.6081
-6.4886 1.8390 6.2456
Sc W C
2 1 1
Cartesian
-3.1331 -3.9377 2.4524
-5.0724 1.0192 4.8336
-4.1027 -1.4593 3.6430
0.0000 0.0000 0.0000
```


Record 10
Here is a relaxed CrIrPt crystal from Alexandria via LeMat-Bulk. Energies are from PBEsol.

Values from the calculation:
As for the space-group type: F-43m (216). As for the formation energy: 0.20 eV per atom. The density of states at the Fermi level is 3.72 states/eV per cell. The value obtained for the energy above the most stable polymorph in this dataset is 396 meV/atom.

POSCAR file:
```
CrIrPt
1.0
-1.4203 2.9737 -2.3043
0.4124 -0.1806 -3.9959
-3.2195 -0.6224 -2.3275
Pt Cr Ir
1 1 1
Cartesian
-2.1137 1.0854 -4.3139
-1.0568 0.5427 -2.1569
0.0000 0.0000 0.0000
```


Record 11
Here is a relaxed BeFeP2 crystal from Alexandria via LeMat-Bulk. Energies are from PBEsol.

Values from the calculation:
As for the space-group type: C2/m (12). As for the formation energy: -0.13 eV per atom. The density of states at the Fermi level is 1.21 states/eV per cell. The value obtained for the energy above the most stable polymorph in this dataset is 127 meV/atom.

POSCAR file:
```
BeFeP2
1.0
-0.1901 1.9408 2.2134
-1.8769 -3.2385 0.7128
3.7191 -1.3198 1.4768
Fe P Be
1 2 1
Cartesian
1.8595 -0.6599 0.7384
-0.0787 -1.5712 1.3710
1.7308 -1.0464 3.0320
-0.0951 0.9704 1.1067
```


Record 12
Here is a relaxed CrOsSe2 crystal from Alexandria via LeMat-Bulk. Energies are from PBEsol.

Values from the calculation:
As for the space-group type: R3m (160). The energy relative to the elements, uncorrected comes out at 0.5 eV per formula unit. The density of states at the Fermi level is 3.98 states/eV per cell. The value obtained for the energy above the most stable polymorph in this dataset is 0 meV/atom.

POSCAR file:
```
CrOsSe2
1.0
-0.6092 1.1928 2.5966
-1.3793 -1.5704 2.0415
7.4203 -3.0272 4.7754
Os Se Cr
1 2 1
Cartesian
1.4998 -0.9021 2.4101
-1.4718 -0.5630 4.8446
3.4559 -2.3317 6.8132
2.6753 -1.6878 4.6905
```


Number 1: magnetic moment 0.00 μB/f.u.. Number 2: magnetic moment 0.00 μB/f.u.. Number 3: magnetic moment 4.11 μB/f.u.. Number 4: magnetic moment 0.00 μB/f.u.. Number 5: magnetic moment 0.21 μB/f.u.. Number 6: magnetic moment 1.18 μB/f.u.. Number 7: magnetic moment 0.00 μB/f.u.. Number 8: magnetic moment 0.00 μB/f.u.. Number 9: magnetic moment 0.00 μB/f.u.. Number 10: magnetic moment 1.12 μB/f.u.. Number 11: magnetic moment 0.37 μB/f.u.. Number 12: magnetic moment 0.00 μB/f.u..